Rb2MnGeS | SCAN | single point on PBEsol structure

abc: 4.6322 6.3017 6.3017
angles: 90.00 90.00 90.00
Last column: magnetic moment on the atom in μB.
Sites, in units of the cell vectors:
Ge 0.0000 0.0000 0.0000  -0.49
Rb 0.0000 0.0000 0.5000  -0.03
Mn 0.5000 0.0000 0.0000  4.14
Rb 0.0000 0.5000 0.0000  -0.03
S 0.5000 0.5000 0.5000  0.15

Summary:
Formation energy from raw total energies   0.08 eV/atom
Space group   P4/mmm
Energy   -17.61 eV/atom
Crystal system   tetragonal